# 1
A relaxed TiO2 crystal, computed with GGA-PBE.

a b c (Å): 6.429 6.429 6.632
angles (deg): 106.25 106.25 34.05
Sites, in units of the cell vectors:
Ti (0.101, 0.101, 0.210)
Ti (0.194, 0.194, 0.782)
Ti (0.806, 0.806, 0.218)
Ti (0.899, 0.899, 0.790)
O (0.058, 0.058, 0.870)
O (0.133, 0.133, 0.503)
O (0.264, 0.264, 0.154)
O (0.361, 0.361, 0.794)
O (0.639, 0.639, 0.206)
O (0.736, 0.736, 0.846)
O (0.867, 0.867, 0.497)
O (0.942, 0.942, 0.130)

Spin magnetization (μB per formula unit): 0.00
Space group: No. 12
E (eV for the cell shown): -107.67


# 2
A relaxed Ti5O8 crystal, computed with GGA-PBE.

a b c (Å): 5.515 9.067 9.076
angles (deg): 68.20 84.87 84.80
Sites, in units of the cell vectors:
Ti (0.000, 0.000, 0.000)
Ti (0.001, 0.253, 0.251)
Ti (0.002, 0.754, 0.752)
Ti (0.104, 0.173, 0.647)
Ti (0.107, 0.902, 0.409)
Ti (0.109, 0.647, 0.170)
Ti (0.115, 0.406, 0.898)
Ti (0.494, 0.252, 0.751)
Ti (0.495, 0.753, 0.250)
Ti (0.497, 0.004, 0.504)
Ti (0.499, 0.505, 0.000)
Ti (0.611, 0.904, 0.905)
Ti (0.614, 0.157, 0.155)
Ti (0.621, 0.417, 0.407)
Ti (0.627, 0.651, 0.646)
O (0.141, 0.344, 0.720)
O (0.145, 0.861, 0.206)
O (0.148, 0.957, 0.611)
O (0.153, 0.454, 0.108)
O (0.306, 0.046, 0.857)
O (0.307, 0.112, 0.298)
O (0.307, 0.611, 0.794)
O (0.330, 0.545, 0.344)
O (0.454, 0.707, 0.045)
O (0.458, 0.801, 0.452)
O (0.464, 0.209, 0.545)
O (0.464, 0.300, 0.952)
O (0.627, 0.452, 0.611)
O (0.647, 0.859, 0.705)
O (0.649, 0.956, 0.107)
O (0.657, 0.363, 0.202)
O (0.796, 0.615, 0.287)
O (0.803, 0.049, 0.358)
O (0.805, 0.108, 0.797)
O (0.807, 0.548, 0.857)
O (0.948, 0.721, 0.547)
O (0.956, 0.288, 0.449)
O (0.961, 0.794, 0.957)
O (0.965, 0.203, 0.048)

Spin magnetization (μB per formula unit): 0.00
Space group: No. 1
E (eV for the cell shown): -350.87


# 3
A relaxed TiO2 crystal, computed with GGA-PBE.

a b c (Å): 5.995 10.908 5.188
angles (deg): 90.00 90.00 90.00
Sites, in units of the cell vectors:
Ti (0.000, 0.000, 0.000)
Ti (0.000, 0.500, 0.000)
Ti (0.250, 0.016, 0.492)
Ti (0.250, 0.484, 0.492)
Ti (0.500, 0.000, 0.000)
Ti (0.500, 0.500, 0.000)
Ti (0.750, 0.516, 0.508)
Ti (0.750, 0.984, 0.508)
O (0.001, 0.590, 0.667)
O (0.001, 0.910, 0.667)
O (0.250, 0.091, 0.833)
O (0.250, 0.409, 0.833)
O (0.250, 0.586, 0.167)
O (0.250, 0.914, 0.167)
O (0.499, 0.590, 0.667)
O (0.499, 0.910, 0.667)
O (0.501, 0.090, 0.333)
O (0.501, 0.410, 0.333)
O (0.750, 0.086, 0.833)
O (0.750, 0.414, 0.833)
O (0.750, 0.591, 0.167)
O (0.750, 0.909, 0.167)
O (0.999, 0.090, 0.333)
O (0.999, 0.410, 0.333)

Spin magnetization (μB per formula unit): 0.00
Space group: No. 59
E (eV for the cell shown): -211.75


# 4
A relaxed Ti3O7 crystal, computed with GGA-PBE.

a b c (Å): 10.522 10.522 9.079
angles (deg): 99.31 99.31 20.52
Sites, in units of the cell vectors:
Ti (0.195, 0.195, 0.063)
Ti (0.195, 0.195, 0.396)
Ti (0.196, 0.196, 0.730)
Ti (0.804, 0.804, 0.270)
Ti (0.805, 0.805, 0.604)
Ti (0.805, 0.805, 0.937)
O (0.001, 0.001, 0.568)
O (0.144, 0.144, 0.210)
O (0.145, 0.145, 0.544)
O (0.145, 0.145, 0.877)
O (0.275, 0.275, 0.259)
O (0.275, 0.275, 0.593)
O (0.275, 0.275, 0.926)
O (0.725, 0.725, 0.074)
O (0.725, 0.725, 0.407)
O (0.725, 0.725, 0.741)
O (0.855, 0.855, 0.123)
O (0.855, 0.855, 0.456)
O (0.856, 0.856, 0.790)
O (0.999, 0.999, 0.432)

Spin magnetization (μB per formula unit): 1.00
Space group: No. 12
E (eV for the cell shown): -170.27


Repeat the first record exactly.
A relaxed TiO2 crystal, computed with GGA-PBE.

a b c (Å): 6.429 6.429 6.632
angles (deg): 106.25 106.25 34.05
Sites, in units of the cell vectors:
Ti (0.101, 0.101, 0.210)
Ti (0.194, 0.194, 0.782)
Ti (0.806, 0.806, 0.218)
Ti (0.899, 0.899, 0.790)
O (0.058, 0.058, 0.870)
O (0.133, 0.133, 0.503)
O (0.264, 0.264, 0.154)
O (0.361, 0.361, 0.794)
O (0.639, 0.639, 0.206)
O (0.736, 0.736, 0.846)
O (0.867, 0.867, 0.497)
O (0.942, 0.942, 0.130)

Spin magnetization (μB per formula unit): 0.00
Space group: No. 12
E (eV for the cell shown): -107.67